1.
## PmDyCu2 (PBEsol)

Data for PmDyCu2 after structural relaxation.

V: 20.544 Å³/atom
DOS at the Fermi energy: 0.584 states/eV per atom
DFT formation energy: -0.18 eV/atom

Unit cell a=6.9014 b=6.9014 c=6.9014 alpha=90.00 beta=90.00 gamma=90.00
Space group Fm-3m (No. 225)
Asymmetric unit:
Pm  0.0000  0.0000  0.0000
Dy  0.0000  0.0000  0.5000
Cu  0.2500  0.2500  0.2500

2.
## Dy2CuPt (PBEsol)

Data for Dy2CuPt after structural relaxation.

V: 20.053 Å³/atom
DOS at the Fermi energy: 0.591 states/eV per atom
DFT formation energy: -0.73 eV/atom

Unit cell a=6.8460 b=6.8460 c=6.8460 alpha=90.00 beta=90.00 gamma=90.00
Space group Fm-3m (No. 225)
Asymmetric unit:
Dy  0.2500  0.2500  0.2500
Cu  0.0000  0.0000  0.0000
Pt  0.0000  0.0000  0.5000

3.
## Dy2CuRu (PBEsol)

Data for Dy2CuRu after structural relaxation.

V: 19.133 Å³/atom
DOS at the Fermi energy: 0.518 states/eV per atom
DFT formation energy: -0.30 eV/atom

Unit cell a=6.7396 b=6.7396 c=6.7396 alpha=90.00 beta=90.00 gamma=90.00
Space group Fm-3m (No. 225)
Asymmetric unit:
Dy  0.2500  0.2500  0.2500
Cu  0.0000  0.0000  0.0000
Ru  0.0000  0.0000  0.5000

4.
## DyCuS2 (PBEsol)

Data for DyCuS2 after structural relaxation.

V: 19.848 Å³/atom
DOS at the Fermi energy: 0.000 states/eV per atom
formation energy (no corrections): -5.64 eV/f.u.

Unit cell a=13.2546 b=3.8879 c=6.1625 alpha=90.00 beta=90.00 gamma=90.00
Space group Pnma (No. 62)
Asymmetric unit:
Dy  0.1324  0.2500  0.0039
Cu  0.0414  0.7500  0.3692
S  0.0418  0.7500  0.7498
S  0.2034  0.7500  0.2477

5.
## DyCu3S3 (PBEsol)

Data for DyCu3S3 after structural relaxation.

V: 16.719 Å³/atom
formation energy (no corrections): -6.33 eV/f.u.

Unit cell a=6.5733 b=6.5733 c=18.7661 alpha=90.00 beta=90.00 gamma=120.00
Space group R-3 (No. 148, hexagonal axes)
Asymmetric unit:
Dy  0.0000  0.0000  0.1665
Cu  0.9997  0.3428  0.3769
S  0.0007  0.6725  0.4163

6.
## Dy3CuSiS7 (PBEsol)

Data for Dy3CuSiS7 after structural relaxation.

V: 19.182 Å³/atom
DOS at the Fermi energy: 0.000 states/eV per atom
formation energy (no corrections): -19.11 eV/f.u.

Unit cell a=9.7510 b=9.7510 c=5.5908 alpha=90.00 beta=90.00 gamma=120.00
Space group P6_3 (No. 173)
Asymmetric unit:
Dy  0.1282  0.7711  0.0000
Cu  0.0000  0.0000  0.0344
Si  0.3333  0.6667  0.4130
S  0.0938  0.8350  0.5192
S  0.1036  0.5209  0.2619
S  0.3333  0.6667  0.7886

7.
## Dy3CuSnS7 (PBEsol)

Data for Dy3CuSnS7 after structural relaxation.

V: 20.287 Å³/atom
DOS at the Fermi energy: 0.000 states/eV per atom
formation energy (no corrections): -17.67 eV/f.u.

Unit cell a=9.6429 b=9.6429 c=6.0462 alpha=90.00 beta=90.00 gamma=120.00
Space group P6_3 (No. 173)
Asymmetric unit:
Dy  0.1472  0.3589  0.0000
Cu  0.0000  0.0000  0.0973
Sn  0.3333  0.6667  0.4336
S  0.0793  0.5629  0.2510
S  0.1124  0.2626  0.5652
S  0.3333  0.6667  0.8250

8.
## DyCuSb2 (PBEsol)

Data for DyCuSb2 after structural relaxation.

V: 21.752 Å³/atom
DOS at the Fermi energy: 0.296 states/eV per atom
formation energy (no corrections): -2.61 eV/f.u.

Unit cell a=4.2535 b=4.2535 c=9.6182 alpha=90.00 beta=90.00 gamma=90.00
Space group P4/nmm (No. 129, origin choice 2)
Asymmetric unit:
Dy  0.2500  0.2500  0.2491
Cu  0.2500  0.7500  0.0000
Sb  0.2500  0.2500  0.8381
Sb  0.2500  0.7500  0.5000

9.
## DyCu3Se3 (PBEsol)

Data for DyCu3Se3 after structural relaxation.

V: 18.859 Å³/atom
formation energy (no corrections): -5.18 eV/f.u.

Unit cell a=6.8623 b=6.8623 c=19.4219 alpha=90.00 beta=90.00 gamma=120.00
Space group R-3 (No. 148, hexagonal axes)
Asymmetric unit:
Dy  0.0000  0.0000  0.1663
Cu  0.0043  0.3582  0.6248
Se  0.0018  0.3179  0.4183

What is the V in the fifth record?
16.719 Å³/atom

What is the V in the second record?
20.053 Å³/atom

Repeat the fourth record exactly.
## DyCuS2 (PBEsol)

Data for DyCuS2 after structural relaxation.

V: 19.848 Å³/atom
DOS at the Fermi energy: 0.000 states/eV per atom
formation energy (no corrections): -5.64 eV/f.u.

Unit cell a=13.2546 b=3.8879 c=6.1625 alpha=90.00 beta=90.00 gamma=90.00
Space group Pnma (No. 62)
Asymmetric unit:
Dy  0.1324  0.2500  0.0039
Cu  0.0414  0.7500  0.3692
S  0.0418  0.7500  0.7498
S  0.2034  0.7500  0.2477

Which of these has the lowest V?
DyCu3S3